Entry from Alexandria: a PBEsol-optimized structure of ZnAg2Hg (meta-GGA SCAN).

Cell lengths 2.9458, 2.9458, 27.3345 Å; angles 90.00, 90.00, 120.00 degrees
Space group R-3m (No. 166, hexagonal axes)
Inequivalent atoms, fractional coordinates:
1 Zn 0.0000 0.0000 0.0000
2 Ag 0.0000 0.0000 0.2568
3 Hg 0.0000 0.0000 0.5000

Results
**Relative energy among the computed polymorphs**: 0.016 eV/atom
**Formation energy**: 1.1 kcal/mol of atoms